Computed, not measured: an optimized crystal structure of HoAgSe2 at the GGA-PBE level of DFT.

The structure in POSCAR format:
```
HoAgSe2
1.0
-3.710 -2.994 -5.643
-1.180 -6.850 -2.501
-5.103 -2.059 1.582
Se Ho Ag
4 2 2
Cartesian
-4.901 -7.965 -5.828
-2.715 -1.156 0.766
-5.222 -3.848 -0.517
-2.389 -4.639 -3.770
-5.106 -9.875 -8.008
-2.731 -2.982 -1.461
-7.320 -9.098 -5.272
-4.640 -6.104 -3.755
```

Computed properties:
ΔE_f (raw), eV per atom: -1.174